Entry 1:
This record from the Alexandria database describes an optimized crystal structure of Tm2ScZn. The functional is PBE.

Results
**Electronic total energy**: -4.135 eV per atom
**Formation energy from the elements**: 2 meV per atom
**Distance to the lowest polymorph of the same formula**: 0.1533 eV/atom

Cell and atoms, written as CIF:
```
data_Tm2ScZn
_chemical_formula_sum 'Tm8 Sc4 Zn4'
_space_group_name_H-M_alt 'F m -3 m'
_space_group_IT_number 225
_space_group_name_Hall '-F 4 2 3'
_cell_length_a 7.290
_cell_length_b 7.290
_cell_length_c 7.290
_cell_angle_alpha 90.00
_cell_angle_beta 90.00
_cell_angle_gamma 90.00
loop_
_atom_site_label
_atom_site_type_symbol
_atom_site_fract_x
_atom_site_fract_y
_atom_site_fract_z
Tm1 Tm 0.250 0.250 0.250
Sc1 Sc 0.000 0.000 0.000
Zn1 Zn 0.000 0.000 0.500
```

---

Entry 2:
This record from the Alexandria database describes an optimized crystal structure of Sr2AcZnO5. The functional is PBE.

Results
**Electronic total energy**: -6.102 eV per atom

Cell and atoms, written as CIF:
```
data_Sr2AcZnO5
_chemical_formula_sum 'Sr8 Ac4 Zn4 O20'
_space_group_name_H-M_alt 'I 4/m c m'
_space_group_IT_number 140
_space_group_name_Hall '-I 4 2c'
_cell_length_a 6.785
_cell_length_b 6.785
_cell_length_c 11.703
_cell_angle_alpha 90.00
_cell_angle_beta 90.00
_cell_angle_gamma 90.00
loop_
_atom_site_label
_atom_site_type_symbol
_atom_site_fract_x
_atom_site_fract_y
_atom_site_fract_z
Sr1 Sr 0.165 0.335 0.000
Ac1 Ac 0.000 0.000 0.250
Zn1 Zn 0.000 0.500 0.250
O1 O 0.000 0.000 0.000
O2 O 0.158 0.342 0.354
```

---

Entry 3:
This record from the Alexandria database describes an optimized crystal structure of Ba2AgPd2. The functional is PBE.

Results
**Electronic total energy**: -3.876 eV per atom
**Formation energy from the elements**: -460 meV per atom
**Distance to the lowest polymorph of the same formula**: 0.0059 eV/atom

Cell and atoms, written as CIF:
```
data_Ba2AgPd2
_chemical_formula_sum 'Ba8 Ag4 Pd8'
_space_group_name_H-M_alt 'C 1 2/c 1'
_space_group_IT_number 15
_space_group_name_Hall '-C 2yc'
_cell_length_a 10.437
_cell_length_b 6.136
_cell_length_c 8.952
_cell_angle_alpha 90.00
_cell_angle_beta 103.92
_cell_angle_gamma 90.00
loop_
_atom_site_label
_atom_site_type_symbol
_atom_site_fract_x
_atom_site_fract_y
_atom_site_fract_z
Ba1 Ba 0.150 0.143 0.151
Ag1 Ag 0.000 0.361 0.750
Pd1 Pd 0.132 0.366 0.504
```

---

Entry 4:
This record from the Alexandria database describes an optimized crystal structure of GaB2Au. The functional is PBE.

Results
**Electronic total energy**: -4.041 eV per atom
**Formation energy from the elements**: 874 meV per atom

Cell and atoms, written as CIF:
```
data_GaB2Au
_chemical_formula_sum 'Ga4 B8 Au4'
_space_group_name_H-M_alt 'I -4 2 d'
_space_group_IT_number 122
_space_group_name_Hall 'I -4 2bw'
_cell_length_a 4.937
_cell_length_b 4.937
_cell_length_c 10.062
_cell_angle_alpha 90.00
_cell_angle_beta 90.00
_cell_angle_gamma 90.00
loop_
_atom_site_label
_atom_site_type_symbol
_atom_site_fract_x
_atom_site_fract_y
_atom_site_fract_z
Ga1 Ga 0.000 0.000 0.000
B1 B 0.243 0.250 0.625
Au1 Au 0.000 0.000 0.500
```

---

Entry 5:
This record from the Alexandria database describes an optimized crystal structure of Mn2HAu. The functional is PBE.

Results
**Electronic total energy**: -5.127 eV per atom
**Distance to the lowest polymorph of the same formula**: 0.9180 eV/atom

Cell and atoms, written as CIF:
```
data_Mn2HAu
_chemical_formula_sum 'Mn8 H4 Au4'
_space_group_name_H-M_alt 'F m -3 m'
_space_group_IT_number 225
_space_group_name_Hall '-F 4 2 3'
_cell_length_a 5.775
_cell_length_b 5.775
_cell_length_c 5.775
_cell_angle_alpha 90.00
_cell_angle_beta 90.00
_cell_angle_gamma 90.00
loop_
_atom_site_label
_atom_site_type_symbol
_atom_site_fract_x
_atom_site_fract_y
_atom_site_fract_z
Mn1 Mn 0.250 0.250 0.250
H1 H 0.000 0.000 0.000
Au1 Au 0.000 0.000 0.500
```

---

Entry 6:
This record from the Alexandria database describes an optimized crystal structure of Tl2FeCu3Te4. The functional is PBE.

Results
**Electronic total energy**: -3.921 eV per atom
**Distance to the lowest polymorph of the same formula**: 0.0090 eV/atom

Cell and atoms, written as CIF:
```
data_Tl2FeCu3Te4
_chemical_formula_sum 'Tl2 Fe1 Cu3 Te4'
_space_group_name_H-M_alt 'P -4 m 2'
_space_group_IT_number 115
_space_group_name_Hall 'P -4 -2'
_cell_length_a 4.040
_cell_length_b 4.040
_cell_length_c 15.651
_cell_angle_alpha 90.00
_cell_angle_beta 90.00
_cell_angle_gamma 90.00
loop_
_atom_site_label
_atom_site_type_symbol
_atom_site_fract_x
_atom_site_fract_y
_atom_site_fract_z
Tl1 Tl 0.000 0.500 0.241
Fe1 Fe 0.000 0.000 0.500
Cu1 Cu 0.000 0.000 0.000
Cu2 Cu 0.500 0.500 0.000
Cu3 Cu 0.500 0.500 0.500
Te1 Te 0.000 0.500 0.608
Te2 Te 0.000 0.500 0.891
```

---

Entry 7:
This record from the Alexandria database describes an optimized crystal structure of BaCdIr. The functional is PBE.

Results
**Electronic total energy**: -3.029 eV per atom
**Formation energy from the elements**: 871 meV per atom

Cell and atoms, written as CIF:
```
data_BaCdIr
_chemical_formula_sum 'Ba4 Cd4 Ir4'
_space_group_name_H-M_alt 'F -4 3 m'
_space_group_IT_number 216
_space_group_name_Hall 'F -4 2 3'
_cell_length_a 7.362
_cell_length_b 7.362
_cell_length_c 7.362
_cell_angle_alpha 90.00
_cell_angle_beta 90.00
_cell_angle_gamma 90.00
loop_
_atom_site_label
_atom_site_type_symbol
_atom_site_fract_x
_atom_site_fract_y
_atom_site_fract_z
Ba1 Ba 0.000 0.000 0.000
Cd1 Cd 0.250 0.250 0.250
Ir1 Ir 0.250 0.250 0.750
```

---

Entry 8:
This record from the Alexandria database describes an optimized crystal structure of ReNiPb2. The functional is PBE.

Results
**Electronic total energy**: -5.256 eV per atom
**Formation energy from the elements**: 1155 meV per atom
**Distance to the lowest polymorph of the same formula**: 0.7098 eV/atom

Cell and atoms, written as CIF:
```
data_ReNiPb2
_chemical_formula_sum 'Re4 Ni4 Pb8'
_space_group_name_H-M_alt 'F -4 3 m'
_space_group_IT_number 216
_space_group_name_Hall 'F -4 2 3'
_cell_length_a 6.893
_cell_length_b 6.893
_cell_length_c 6.893
_cell_angle_alpha 90.00
_cell_angle_beta 90.00
_cell_angle_gamma 90.00
loop_
_atom_site_label
_atom_site_type_symbol
_atom_site_fract_x
_atom_site_fract_y
_atom_site_fract_z
Re1 Re 0.000 0.000 0.000
Ni1 Ni 0.250 0.250 0.250
Pb1 Pb 0.000 0.000 0.500
Pb2 Pb 0.250 0.250 0.750
```

---

Q: Among the records above, which one has the highest electronic total energy?
A: BaCdIr